1.
VASP calculation (PBE) on a relaxed HoTmMgTc crystal. Values from VASP.

Structure (Quantum ESPRESSO input):
```
&SYSTEM
  ibrav = 0, nat = 4, ntyp = 4
/
ATOMIC_SPECIES
Tc 98.00 Tc.upf
Mg 24.30 Mg.upf
Tm 168.93 Tm.upf
Ho 164.93 Ho.upf
CELL_PARAMETERS angstrom
-4.477 1.385 -1.712
-3.927 0.099 3.077
-1.964 4.369 1.399
ATOMIC_POSITIONS angstrom
Tc -5.184 2.927 1.382
Mg 0.000 0.000 0.000
Tm -2.592 1.463 0.691
Ho -7.776 4.390 2.073
```

As for the total moment: 0.00 μB/f.u. The offset from the most stable computed form comes out at 70 meV/atom. The formation energy from the elements is -0.037 eV/atom. The uncorrected energy comes out at -5.289 eV per atom. The space-group type is No. 216.

2.
VASP calculation (PBE) on a relaxed HfMo3As crystal. Values from VASP.

Structure (Quantum ESPRESSO input):
```
&SYSTEM
  ibrav = 0, nat = 5, ntyp = 3
/
ATOMIC_SPECIES
Mo 95.94 Mo.upf
As 74.92 As.upf
Hf 178.49 Hf.upf
CELL_PARAMETERS angstrom
-4.018 -1.064 -2.001
1.933 -3.736 -1.894
-1.184 -2.488 3.700
ATOMIC_POSITIONS angstrom
Mo 0.966 -1.868 -0.947
Mo -0.592 -1.244 1.850
Mo -2.009 -0.532 -1.000
As 0.000 0.000 0.000
Hf -1.635 -3.644 -0.097
```

As for the total moment: 0.00 μB/f.u. The offset from the most stable computed form comes out at 0 meV/atom. The formation energy from the elements is 0.768 eV/atom. The uncorrected energy comes out at -8.651 eV per atom. The space-group type is No. 221.

3.
VASP calculation (PBE) on a relaxed Sn3HgCl crystal. Values from VASP.

Structure (Quantum ESPRESSO input):
```
&SYSTEM
  ibrav = 0, nat = 5, ntyp = 3
/
ATOMIC_SPECIES
Cl 35.45 Cl.upf
Hg 200.59 Hg.upf
Sn 118.71 Sn.upf
CELL_PARAMETERS angstrom
-0.104 -1.371 -5.263
-4.989 -2.072 0.639
-2.166 4.839 -1.218
ATOMIC_POSITIONS angstrom
Cl 0.000 0.000 0.000
Hg -3.630 0.698 -2.921
Sn -1.083 2.420 -0.609
Sn -2.495 -1.036 0.319
Sn -0.052 -0.686 -2.632
```

As for the total moment: 0.00 μB/f.u. The offset from the most stable computed form comes out at 0 meV/atom. The uncorrected energy comes out at -2.424 eV per atom. The space-group type is No. 221.

4.
VASP calculation (PBE) on a relaxed Ac2PmIn crystal. Values from VASP.

Structure (Quantum ESPRESSO input):
```
&SYSTEM
  ibrav = 0, nat = 4, ntyp = 3
/
ATOMIC_SPECIES
In 114.82 In.upf
Ac 227.00 Ac.upf
Pm 145.00 Pm.upf
CELL_PARAMETERS angstrom
5.902 0.000 0.000
2.951 5.111 0.000
2.951 1.704 4.819
ATOMIC_POSITIONS angstrom
In 5.902 3.407 2.409
Ac 2.951 1.704 1.205
Ac 8.853 5.111 3.614
Pm 0.000 0.000 0.000
```

As for the total moment: 0.00 μB/f.u. The offset from the most stable computed form comes out at 116 meV/atom. The formation energy from the elements is -0.080 eV/atom. The uncorrected energy comes out at -4.006 eV per atom. The space-group type is No. 225.

5.
VASP calculation (PBE) on a relaxed BeB2As crystal. Values from VASP.

Structure (Quantum ESPRESSO input):
```
&SYSTEM
  ibrav = 0, nat = 8, ntyp = 3
/
ATOMIC_SPECIES
B 10.81 B.upf
Be 9.01 Be.upf
As 74.92 As.upf
CELL_PARAMETERS angstrom
-0.636 4.566 1.562
-2.585 -1.653 3.778
1.957 1.163 4.983
ATOMIC_POSITIONS angstrom
B -0.228 2.909 2.685
B -1.335 3.431 8.386
B 0.244 1.954 5.763
B -1.210 -0.144 3.812
Be -1.611 1.456 2.670
Be -1.119 0.483 5.716
As -0.145 3.592 4.607
As 0.000 0.000 0.000
```

As for the total moment: 0.00 μB/f.u. The offset from the most stable computed form comes out at 0 meV/atom. The formation energy from the elements is 0.847 eV/atom. The uncorrected energy comes out at -4.585 eV per atom. The space-group type is No. 122.

6.
VASP calculation (PBE) on a relaxed K3PN crystal. Values from VASP.

Structure (Quantum ESPRESSO input):
```
&SYSTEM
  ibrav = 0, nat = 5, ntyp = 3
/
ATOMIC_SPECIES
K 39.10 K.upf
P 30.97 P.upf
N 14.01 N.upf
CELL_PARAMETERS angstrom
6.226 0.000 0.000
0.000 6.226 0.000
0.000 0.000 6.226
ATOMIC_POSITIONS angstrom
K 0.000 0.000 3.113
K 3.113 0.000 0.000
K 0.000 3.113 0.000
P 0.000 0.000 0.000
N 3.113 3.113 3.113
```

As for the total moment: 3.00 μB/f.u. The uncorrected energy comes out at -2.631 eV per atom. The space-group type is No. 221.

7.
VASP calculation (PBE) on a relaxed ScAl2Ru crystal. Values from VASP.

Structure (Quantum ESPRESSO input):
```
&SYSTEM
  ibrav = 0, nat = 4, ntyp = 3
/
ATOMIC_SPECIES
Sc 44.96 Sc.upf
Al 26.98 Al.upf
Ru 101.07 Ru.upf
CELL_PARAMETERS angstrom
4.831 0.008 0.019
3.779 3.010 0.019
1.217 0.427 4.591
ATOMIC_POSITIONS angstrom
Sc 2.457 0.861 1.157
Al 1.339 0.469 4.402
Al 4.792 1.680 2.504
Ru 7.371 2.583 3.472
```

As for the total moment: 0.00 μB/f.u. The formation energy from the elements is -0.463 eV/atom. The uncorrected energy comes out at -6.236 eV per atom. The space-group type is No. 12.

8.
VASP calculation (PBE) on a relaxed BiMoIr3 crystal. Values from VASP.

Structure (Quantum ESPRESSO input):
```
&SYSTEM
  ibrav = 0, nat = 5, ntyp = 3
/
ATOMIC_SPECIES
Ir 192.22 Ir.upf
Bi 208.98 Bi.upf
Mo 95.94 Mo.upf
CELL_PARAMETERS angstrom
-2.976 1.648 3.356
-3.431 -2.908 -1.614
1.486 -3.415 2.994
ATOMIC_POSITIONS angstrom
Ir -1.488 0.824 1.678
Ir -1.716 -1.454 -0.807
Ir 0.743 -1.708 1.497
Bi -2.461 -2.337 2.368
Mo 0.000 0.000 0.000
```

As for the total moment: 0.00 μB/f.u. The formation energy from the elements is 1.291 eV/atom. The uncorrected energy comes out at -6.968 eV per atom. The space-group type is No. 221.

9.
VASP calculation (PBE) on a relaxed SrGe2P crystal. Values from VASP.

Structure (Quantum ESPRESSO input):
```
&SYSTEM
  ibrav = 0, nat = 8, ntyp = 3
/
ATOMIC_SPECIES
Ge 72.64 Ge.upf
P 30.97 P.upf
Sr 87.62 Sr.upf
CELL_PARAMETERS angstrom
7.630 0.000 0.000
0.000 7.630 0.000
3.815 3.815 3.345
ATOMIC_POSITIONS angstrom
Ge 2.515 5.722 0.836
Ge 5.722 6.330 2.508
Ge 9.537 8.930 2.508
Ge 5.115 1.907 0.836
P 3.815 7.630 1.672
P 3.815 3.815 0.000
Sr 7.630 3.815 1.672
Sr 0.000 0.000 0.000
```

As for the total moment: 0.00 μB/f.u. The formation energy from the elements is -0.210 eV/atom. The uncorrected energy comes out at -4.292 eV per atom. The space-group type is No. 122.

10.
VASP calculation (PBE) on a relaxed AlCr2Ru crystal. Values from VASP.

Structure (Quantum ESPRESSO input):
```
&SYSTEM
  ibrav = 0, nat = 4, ntyp = 3
/
ATOMIC_SPECIES
Cr 52.00 Cr.upf
Al 26.98 Al.upf
Ru 101.07 Ru.upf
CELL_PARAMETERS angstrom
-0.874 0.474 -2.473
-1.371 -3.679 -0.221
-4.329 1.504 1.818
ATOMIC_POSITIONS angstrom
Cr -2.209 0.768 0.928
Cr -4.284 1.489 1.799
Al -4.369 -0.474 0.016
Ru -2.205 -1.226 -0.893
```

As for the total moment: 0.00 μB/f.u. The formation energy from the elements is -0.040 eV/atom. The uncorrected energy comes out at -8.106 eV per atom. The space-group type is No. 47.

11.
VASP calculation (PBE) on a relaxed Ga3Ir2 crystal. Values from VASP.

Structure (Quantum ESPRESSO input):
```
&SYSTEM
  ibrav = 0, nat = 10, ntyp = 2
/
ATOMIC_SPECIES
Ga 69.72 Ga.upf
Ir 192.22 Ir.upf
CELL_PARAMETERS angstrom
-4.938 1.041 -2.371
-4.664 -2.070 2.248
-3.816 4.969 3.573
ATOMIC_POSITIONS angstrom
Ga -8.122 0.091 1.364
Ga -5.117 0.203 1.712
Ga -6.426 1.632 -0.613
Ga -6.992 2.307 4.062
Ga -5.296 3.849 2.085
Ga -8.301 3.737 1.737
Ir -3.213 -0.233 0.034
Ir -10.205 4.172 3.415
Ir -9.923 1.737 1.759
Ir -3.496 2.202 1.691
```

As for the total moment: 0.00 μB/f.u. The formation energy from the elements is -0.299 eV/atom. The uncorrected energy comes out at -5.659 eV per atom. The space-group type is No. 167.

12.
VASP calculation (PBE) on a relaxed SrHf3Ru crystal. Values from VASP.

Structure (Quantum ESPRESSO input):
```
&SYSTEM
  ibrav = 0, nat = 5, ntyp = 3
/
ATOMIC_SPECIES
Hf 178.49 Hf.upf
Ru 101.07 Ru.upf
Sr 87.62 Sr.upf
CELL_PARAMETERS angstrom
-0.941 4.660 -1.288
-1.708 0.907 4.530
4.523 1.312 1.443
ATOMIC_POSITIONS angstrom
Hf -0.471 2.330 -0.644
Hf 2.262 0.656 0.721
Hf -0.854 0.454 2.265
Ru 0.937 3.440 2.342
Sr 0.000 0.000 0.000
```

As for the total moment: 0.00 μB/f.u. The offset from the most stable computed form comes out at 2145 meV/atom. The formation energy from the elements is 2.386 eV/atom. The uncorrected energy comes out at -5.778 eV per atom. The space-group type is No. 221.

13.
VASP calculation (PBE) on a relaxed V2SN crystal. Values from VASP.

Structure (Quantum ESPRESSO input):
```
&SYSTEM
  ibrav = 0, nat = 8, ntyp = 3
/
ATOMIC_SPECIES
V 50.94 V.upf
N 14.01 N.upf
S 32.06 S.upf
CELL_PARAMETERS angstrom
4.994 0.000 0.000
0.000 4.994 0.000
2.497 2.497 4.645
ATOMIC_POSITIONS angstrom
V 1.563 3.746 1.161
V 3.746 4.060 3.483
V 6.243 5.928 3.483
V 3.431 1.249 1.161
N 2.497 4.994 2.322
N 2.497 2.497 0.000
S 0.000 0.000 0.000
S 4.994 2.497 2.322
```

As for the total moment: 3.20 μB/f.u. The offset from the most stable computed form comes out at 0 meV/atom. The uncorrected energy comes out at -8.351 eV per atom. The space-group type is No. 122.

14.
VASP calculation (PBE) on a relaxed LiTm2TlO crystal. Values from VASP.

Structure (Quantum ESPRESSO input):
```
&SYSTEM
  ibrav = 0, nat = 5, ntyp = 4
/
ATOMIC_SPECIES
Li 6.94 Li.upf
O 16.00 O.upf
Tl 204.38 Tl.upf
Tm 168.93 Tm.upf
CELL_PARAMETERS angstrom
-3.220 -0.769 2.710
-2.641 -1.528 -3.572
1.610 -4.361 0.675
ATOMIC_POSITIONS angstrom
Li -1.610 -0.385 1.355
O 0.000 0.000 0.000
Tl -2.126 -3.329 -0.093
Tm 0.805 -2.181 0.338
Tm -1.321 -0.764 -1.786
```

As for the total moment: 0.00 μB/f.u. The uncorrected energy comes out at -5.029 eV per atom. The space-group type is No. 123.

15.
VASP calculation (PBE) on a relaxed Mg2TlNi crystal. Values from VASP.

Structure (Quantum ESPRESSO input):
```
&SYSTEM
  ibrav = 0, nat = 4, ntyp = 3
/
ATOMIC_SPECIES
Tl 204.38 Tl.upf
Mg 24.30 Mg.upf
Ni 58.69 Ni.upf
CELL_PARAMETERS angstrom
-5.261 -6.622 3.439
-3.713 -8.265 1.122
-2.329 -7.861 4.018
ATOMIC_POSITIONS angstrom
Tl -8.477 -17.061 6.434
Mg -5.822 -11.718 4.419
Mg -11.132 -22.404 8.449
Ni -2.826 -5.687 2.145
```

As for the total moment: 0.00 μB/f.u. The formation energy from the elements is 0.070 eV/atom. The uncorrected energy comes out at -2.765 eV per atom. The space-group type is No. 166.

16.
VASP calculation (PBE) on a relaxed LiAc2OsO8 crystal. Values from VASP.

Structure (Quantum ESPRESSO input):
```
&SYSTEM
  ibrav = 0, nat = 12, ntyp = 4
/
ATOMIC_SPECIES
Ac 227.00 Ac.upf
Os 190.23 Os.upf
O 16.00 O.upf
Li 6.94 Li.upf
CELL_PARAMETERS angstrom
4.349 -0.186 -0.011
-0.107 5.386 0.149
0.022 0.292 7.323
ATOMIC_POSITIONS angstrom
Ac 1.295 2.924 5.557
Ac 2.968 2.567 1.904
Os 0.000 0.000 0.000
O 0.872 5.481 5.835
O 0.951 4.151 1.023
O 0.741 2.024 3.297
O 1.096 1.440 0.505
O 3.312 1.340 6.438
O 3.523 3.468 4.164
O 3.391 0.011 1.626
O 3.167 4.051 6.955
Li 0.011 0.146 3.661
```

As for the total moment: 1.04 μB/f.u. The uncorrected energy comes out at -7.062 eV per atom. The space-group type is No. 2.

17.
VASP calculation (PBE) on a relaxed Pm2NdSmY5 crystal. Values from VASP.

Structure (Quantum ESPRESSO input):
```
&SYSTEM
  ibrav = 0, nat = 18, ntyp = 4
/
ATOMIC_SPECIES
Y 88.91 Y.upf
Pm 145.00 Pm.upf
Nd 144.24 Nd.upf
Sm 150.36 Sm.upf
CELL_PARAMETERS angstrom
-0.981 -8.183 3.012
7.997 0.364 3.595
-6.595 6.703 3.281
ATOMIC_POSITIONS angstrom
Y 4.799 -4.743 6.774
Y 4.615 -0.682 4.965
Y -4.195 -0.434 4.923
Y -4.378 3.627 3.114
Y -0.297 4.499 4.658
Y 0.718 -5.615 5.230
Y 3.508 -3.909 3.303
Y -0.114 0.438 6.466
Y 0.535 -1.554 3.421
Y 0.000 0.000 0.000
Pm 2.952 -0.814 1.729
Pm 6.688 -2.816 4.331
Pm 4.063 -7.005 4.877
Pm 0.327 -5.003 2.276
Nd 1.964 -2.513 6.595
Nd -1.544 1.397 3.292
Sm -2.034 -2.695 4.798
Sm 2.455 1.579 5.089
```

As for the total moment: 0.00 μB/f.u. The formation energy from the elements is 0.241 eV/atom. The uncorrected energy comes out at -5.460 eV per atom. The space-group type is No. 140.

18.
VASP calculation (PBE) on a relaxed Ca4TcO6 crystal. Values from VASP.

Structure (Quantum ESPRESSO input):
```
&SYSTEM
  ibrav = 0, nat = 22, ntyp = 3
/
ATOMIC_SPECIES
O 16.00 O.upf
Tc 98.00 Tc.upf
Ca 40.08 Ca.upf
CELL_PARAMETERS angstrom
-0.741 5.653 -1.535
-4.550 3.080 2.183
5.062 6.034 8.422
ATOMIC_POSITIONS angstrom
O 3.595 11.508 6.492
O -1.003 7.661 4.833
O 1.372 6.174 3.606
O 2.142 7.142 6.346
O 1.351 12.842 8.336
O -1.206 9.987 3.384
O -1.901 4.515 1.736
O 0.701 10.510 6.769
O 3.878 8.563 8.109
O 0.285 7.182 1.133
O -2.912 7.551 2.714
O 2.455 9.428 3.923
Tc -2.597 8.875 4.076
Tc 2.676 6.792 8.163
Ca 0.541 8.367 3.280
Ca 0.213 6.049 6.252
Ca -0.485 4.872 0.032
Ca -1.144 8.956 6.864
Ca 1.094 10.653 9.199
Ca -1.142 2.428 2.097
Ca 2.668 9.377 6.131
Ca -1.851 5.708 3.607
```

As for the total moment: 0.98 μB/f.u. The uncorrected energy comes out at -6.749 eV per atom. The space-group type is No. 9.

19.
VASP calculation (PBE) on a relaxed EuSc2Hg crystal. Values from VASP.

Structure (Quantum ESPRESSO input):
```
&SYSTEM
  ibrav = 0, nat = 4, ntyp = 3
/
ATOMIC_SPECIES
Hg 200.59 Hg.upf
Sc 44.96 Sc.upf
Eu 151.96 Eu.upf
CELL_PARAMETERS angstrom
-2.755 -1.274 -1.618
0.245 -2.886 1.856
-5.334 3.577 6.267
ATOMIC_POSITIONS angstrom
Hg -1.255 -2.080 0.119
Sc -1.095 0.734 1.286
Sc -4.239 2.843 4.980
Eu -3.922 -0.291 3.252
```

As for the total moment: 8.14 μB/f.u. The offset from the most stable computed form comes out at 0 meV/atom. The formation energy from the elements is -0.090 eV/atom. The uncorrected energy comes out at -5.899 eV per atom. The space-group type is No. 123.

20.
VASP calculation (PBE) on a relaxed CdAs5 crystal. Values from VASP.

Structure (Quantum ESPRESSO input):
```
&SYSTEM
  ibrav = 0, nat = 6, ntyp = 2
/
ATOMIC_SPECIES
As 74.92 As.upf
Cd 112.41 Cd.upf
CELL_PARAMETERS angstrom
2.618 -4.535 0.000
2.618 4.535 0.000
0.000 0.000 5.115
ATOMIC_POSITIONS angstrom
As 1.652 -2.861 0.000
As 1.933 0.000 0.000
As 2.618 1.512 2.557
As 2.618 -1.512 2.557
As 1.652 2.861 0.000
Cd 0.000 0.000 2.557
```

As for the total moment: 0.00 μB/f.u. The offset from the most stable computed form comes out at 321 meV/atom. The formation energy from the elements is 0.415 eV/atom. The uncorrected energy comes out at -3.612 eV per atom. The space-group type is No. 189.